A plane-wave DFT calculation with GGA-PBE was carried out for a geometry-optimized MgP2H structure.

abc: 7.3511 7.3511 7.3511
angles: 146.38 146.38 48.28
Last column: nearest neighbours and their distance in Å.
Sites, in units of the cell vectors:
Mg (0.0000, 0.0000, 0.0000)  4 P 2.58
Mg (0.7500, 0.2500, 0.5000)  4 P 2.58
P (0.2641, 0.6250, 0.1391)  2 H 2.04
P (0.3750, 0.5141, 0.6391)  2 H 2.04
P (0.4859, 0.1250, 0.8609)  2 H 2.04
P (0.8750, 0.7359, 0.3609)  2 H 2.04
H (0.2500, 0.7500, 0.5000)  4 P 2.04
H (0.5000, 0.5000, 0.0000)  4 P 2.04

Properties
**Electronic total energy**: -3.761 eV per atom
**Spin magnetization**: 0.0 μB per cell
**Space-group type**: I-42d, No. 122
**Theoretical density**: 2.39 g/cm³